1.
{"formula": "KPm2Hg", "functional": "PBE", "state": "relaxed", "formation_energy_mev_per_atom": 79, "magmom_total_mub_per_cell": 0.000, "dos_at_fermi_per_ev_cell": 5.4, "space_group": "R-3m, No. 166", "energy_ev_per_cell": -10.59, "cell": [[3.741, 0.000, 0.000], [1.871, 3.240, 0.000], [1.871, 1.080, 12.600]], "species": ["K", "Hg", "Pm", "Pm"], "frac_coords": [[0.000, 0.000, 0.000], [0.500, 0.500, 0.500], [0.104, 0.104, 0.688], [0.896, 0.896, 0.312]]}



2.
{"formula": "Mn2ZnSe", "functional": "PBE", "state": "relaxed", "raw_formation_energy_ev_per_atom": 0.31, "magmom_total_mub_per_cell": 0.679, "polymorph_energy_ev_per_atom": 0.248, "dos_at_fermi_per_ev_cell": 2.4, "space_group": "F-43m, No. 216", "energy_ev_per_cell": -21.84, "cell": [[-3.077, -3.223, 0.175], [0.148, -3.050, 3.250], [-3.078, 0.029, 3.227]], "species": ["Mn", "Mn", "Se", "Zn"], "frac_coords": [[0.000, 0.000, 0.000], [0.250, 0.250, 0.250], [0.500, 0.500, 0.500], [0.750, 0.750, 0.750]]}



Please write out number 1 again, unchanged.
{"formula": "KPm2Hg", "functional": "PBE", "state": "relaxed", "formation_energy_mev_per_atom": 79, "magmom_total_mub_per_cell": 0.000, "dos_at_fermi_per_ev_cell": 5.4, "space_group": "R-3m, No. 166", "energy_ev_per_cell": -10.59, "cell": [[3.741, 0.000, 0.000], [1.871, 3.240, 0.000], [1.871, 1.080, 12.600]], "species": ["K", "Hg", "Pm", "Pm"], "frac_coords": [[0.000, 0.000, 0.000], [0.500, 0.500, 0.500], [0.104, 0.104, 0.688], [0.896, 0.896, 0.312]]}